# 1
# KZrAgTeSeS

KZrAgTeSeS after structural relaxation (PBE, OQMD).

Properties
E above lowest polymorph ... 37 meV/atom

```
data_KZrAgTeSeS
_cell_length_a 8.4627
_cell_length_b 4.0598
_cell_length_c 10.0956
_cell_angle_alpha 90.00
_cell_angle_beta 110.14
_cell_angle_gamma 90.00
_symmetry_space_group_name_H-M 'P 1 21/m 1'
_symmetry_Int_Tables_number 11
loop_
_symmetry_equiv_pos_as_xyz
'x,y,z'
'-x,-y,-z'
'-x,y+1/2,-z'
'x,-y+1/2,z'
loop_
_atom_site_label
_atom_site_fract_x
_atom_site_fract_y
_atom_site_fract_z
K1 0.2233 0.2500 0.1886
Zr1 0.1839 0.7500 0.6691
Ag1 0.4198 0.2500 0.8967
Te1 0.4148 0.2500 0.6240
Se1 0.0445 0.7500 0.3666
S1 0.2412 0.7500 0.9317
```

***

# 2
# NaNb3As5

NaNb3As5 after structural relaxation (PBE, OQMD).

Properties
Raw total energy ... -0.2334 Ha/atom

```
data_NaNb3As5
_cell_length_a 5.6341
_cell_length_b 5.6341
_cell_length_c 7.6664
_cell_angle_alpha 90.00
_cell_angle_beta 90.00
_cell_angle_gamma 120.00
_symmetry_space_group_name_H-M 'P 6/m m m'
_symmetry_Int_Tables_number 191
_symmetry_space_group_name_Hall '-P 6 2'
loop_
_atom_site_label
_atom_site_fract_x
_atom_site_fract_y
_atom_site_fract_z
Na1 0.0000 0.0000 0.0000
Nb1 0.0000 0.5000 0.5000
As1 0.0000 0.0000 0.5000
As2 0.3333 0.6667 0.2219
```

***

# 3
# MgScZnB

MgScZnB after structural relaxation (PBE, OQMD).

Properties
E above lowest polymorph ... 0 meV/atom

```
data_MgScZnB
_cell_length_a 6.2130
_cell_length_b 6.2130
_cell_length_c 6.2130
_cell_angle_alpha 90.00
_cell_angle_beta 90.00
_cell_angle_gamma 90.00
_symmetry_space_group_name_H-M 'F -4 3 m'
_symmetry_Int_Tables_number 216
_symmetry_space_group_name_Hall 'F -4 2 3'
loop_
_atom_site_label
_atom_site_fract_x
_atom_site_fract_y
_atom_site_fract_z
Mg1 0.0000 0.0000 0.0000
Sc1 0.0000 0.0000 0.5000
Zn1 0.2500 0.2500 0.7500
B1 0.2500 0.2500 0.2500
```

***

# 4
# Tl2CuNiBr6

Tl2CuNiBr6 after structural relaxation (PBE, OQMD).

Properties
Raw total energy ... -0.1062 Ha/atom

```
data_Tl2CuNiBr6
_cell_length_a 10.2156
_cell_length_b 10.2156
_cell_length_c 10.2156
_cell_angle_alpha 90.00
_cell_angle_beta 90.00
_cell_angle_gamma 90.00
_symmetry_space_group_name_H-M 'F m -3 m'
_symmetry_Int_Tables_number 225
_symmetry_space_group_name_Hall '-F 4 2 3'
loop_
_atom_site_label
_atom_site_fract_x
_atom_site_fract_y
_atom_site_fract_z
Tl1 0.2500 0.2500 0.2500
Cu1 0.0000 0.0000 0.0000
Ni1 0.0000 0.0000 0.5000
Br1 0.0000 0.0000 0.2547
```

***

# 5
# LiSmIn

LiSmIn after structural relaxation (PBE, OQMD).

Properties
Raw total energy ... -0.1159 Ha/atom

```
data_LiSmIn
_cell_length_a 7.0909
_cell_length_b 7.0909
_cell_length_c 7.0909
_cell_angle_alpha 90.00
_cell_angle_beta 90.00
_cell_angle_gamma 90.00
_symmetry_space_group_name_H-M 'F -4 3 m'
_symmetry_Int_Tables_number 216
_symmetry_space_group_name_Hall 'F -4 2 3'
loop_
_atom_site_label
_atom_site_fract_x
_atom_site_fract_y
_atom_site_fract_z
Li1 0.0000 0.0000 0.0000
Sm1 0.0000 0.0000 0.5000
In1 0.2500 0.2500 0.2500
```

***

# 6
# ZnInFePt

ZnInFePt after structural relaxation (PBE, OQMD).

Properties
E above lowest polymorph ... 0 meV/atom

```
data_ZnInFePt
_cell_length_a 6.3142
_cell_length_b 6.3142
_cell_length_c 6.3142
_cell_angle_alpha 90.00
_cell_angle_beta 90.00
_cell_angle_gamma 90.00
_symmetry_space_group_name_H-M 'F -4 3 m'
_symmetry_Int_Tables_number 216
_symmetry_space_group_name_Hall 'F -4 2 3'
loop_
_atom_site_label
_atom_site_fract_x
_atom_site_fract_y
_atom_site_fract_z
Zn1 0.0000 0.0000 0.0000
In1 0.0000 0.0000 0.5000
Fe1 0.2500 0.2500 0.7500
Pt1 0.2500 0.2500 0.2500
```

***

# 7
# RePd7

RePd7 after structural relaxation (PBE, OQMD).

Properties
Formation energy from the elements ... 0.013 eV per atom

```
data_RePd7
_cell_length_a 4.8061
_cell_length_b 5.5538
_cell_length_c 9.5529
_cell_angle_alpha 89.82
_cell_angle_beta 80.04
_cell_angle_gamma 73.04
_symmetry_space_group_name_H-M 'P -1'
_symmetry_Int_Tables_number 2
loop_
_symmetry_equiv_pos_as_xyz
'x,y,z'
'-x,-y,-z'
loop_
_atom_site_label
_atom_site_fract_x
_atom_site_fract_y
_atom_site_fract_z
Re1 0.2469 0.0671 0.1923
Pd1 0.2370 0.5694 0.6897
Pd2 0.2445 0.0607 0.6921
Pd3 0.2463 0.8174 0.9385
Pd4 0.2520 0.5600 0.1852
Pd5 0.2525 0.3067 0.4337
Pd6 0.2561 0.8139 0.4293
Pd7 0.2648 0.2990 0.9416
```

***

# 8
# GdSnAuSe3

GdSnAuSe3 after structural relaxation (PBE, OQMD).

Properties
E above lowest polymorph ... 25 meV/atom

```
data_GdSnAuSe3
_cell_length_a 7.9042
_cell_length_b 4.0752
_cell_length_c 10.0444
_cell_angle_alpha 90.00
_cell_angle_beta 107.23
_cell_angle_gamma 90.00
_symmetry_space_group_name_H-M 'P 1 21/m 1'
_symmetry_Int_Tables_number 11
loop_
_symmetry_equiv_pos_as_xyz
'x,y,z'
'-x,-y,-z'
'-x,y+1/2,-z'
'x,-y+1/2,z'
loop_
_atom_site_label
_atom_site_fract_x
_atom_site_fract_y
_atom_site_fract_z
Gd1 0.1933 0.2500 0.1677
Sn1 0.2314 0.7500 0.7027
Au1 0.3821 0.7500 0.4100
Se1 0.0816 0.2500 0.8672
Se2 0.1884 0.2500 0.4633
Se3 0.4559 0.7500 0.1742
```